This record from Alexandria via LeMat-Bulk describes an optimized crystal structure of Ac4Te2IrPd. The functional is PBE.

Calculated values
* uncorrected energy: -5.7267 eV/atom
* raw formation energy: -1.130 eV/atom

Cell lengths 7.703, 4.454, 8.424 Å; angles 90.00, 107.69, 90.00 degrees
Sites, in units of the cell vectors:
Ac: 0.229 0.000 0.211
Ac: 0.253 0.500 0.786
Ac: 0.747 0.500 0.214
Ac: 0.771 0.000 0.789
Te: 0.000 0.000 0.500
Te: 0.500 0.500 0.500
Ir: 0.000 0.500 0.000
Pd: 0.500 0.000 0.000

---

This record from Alexandria via LeMat-Bulk describes an optimized crystal structure of Ac6Te3IrPd2. The functional is PBE.

Calculated values
* uncorrected energy: -5.5860 eV/atom
* raw formation energy: -1.143 eV/atom

Cell lengths 7.715, 7.715, 8.471 Å; angles 98.74, 98.74, 120.02 degrees
Sites, in units of the cell vectors:
Ac: 0.071 0.393 0.213
Ac: 0.251 0.251 0.785
Ac: 0.393 0.071 0.213
Ac: 0.607 0.929 0.787
Ac: 0.749 0.749 0.215
Ac: 0.929 0.607 0.787
Te: 0.169 0.831 0.500
Te: 0.500 0.500 0.500
Te: 0.831 0.169 0.500
Ir: 0.000 0.000 0.000
Pd: 0.334 0.666 0.000
Pd: 0.666 0.334 0.000

---

This record from Alexandria via LeMat-Bulk describes an optimized crystal structure of Ac8Te4Ir3Pd. The functional is PBE.

Calculated values
* uncorrected energy: -5.9448 eV/atom
* raw formation energy: -1.119 eV/atom

Cell lengths 9.474, 9.474, 9.474 Å; angles 55.98, 55.98, 55.98 degrees
Sites, in units of the cell vectors:
Ac: 0.228 0.741 0.741
Ac: 0.236 0.236 0.236
Ac: 0.259 0.259 0.772
Ac: 0.259 0.772 0.259
Ac: 0.741 0.228 0.741
Ac: 0.741 0.741 0.228
Ac: 0.764 0.764 0.764
Ac: 0.772 0.259 0.259
Te: 0.000 0.000 0.000
Te: 0.000 0.500 0.500
Te: 0.500 0.000 0.500
Te: 0.500 0.500 0.000
Ir: 0.000 0.000 0.500
Ir: 0.000 0.500 0.000
Ir: 0.500 0.000 0.000
Pd: 0.500 0.500 0.500

---

This record from Alexandria via LeMat-Bulk describes an optimized crystal structure of AcThIrPd. The functional is PBE.

Calculated values
* uncorrected energy: -6.9973 eV/atom
* excess energy over the best structure of this formula in the dataset: 162 meV/atom
* DFT formation energy: -602 meV per atom

Cell lengths 5.194, 5.194, 5.194 Å; angles 60.00, 60.00, 60.00 degrees
Sites, in units of the cell vectors:
Ac: 0.000 0.000 0.000
Th: 0.500 0.500 0.500
Ir: 0.750 0.750 0.750
Pd: 0.250 0.250 0.250